Entry 1:
{"formula": "Dy2ErGa3Ge2Pd", "functional": "GGA-PBE", "state": "relaxed", "cell": [[4.227, 0.000, 0.000], [0.000, 6.050, 3.508], [0.000, -6.050, 3.508]], "species": ["Dy", "Dy", "Er", "Ga", "Ga", "Ga", "Ge", "Ge", "Pd"], "frac_coords": [[0.000, 0.206, 0.794], [0.000, 0.794, 0.206], [0.000, 0.617, 0.617], [0.500, 0.207, 0.444], [0.500, 0.444, 0.207], [0.500, 0.969, 0.969], [0.500, 0.540, 0.871], [0.500, 0.871, 0.540], [0.000, 0.209, 0.209]]}

Entry 2:
{"formula": "LiCuSiW", "functional": "GGA-PBE", "state": "relaxed", "cell": [[0.000, 2.943, 2.943], [2.943, 0.000, 2.943], [2.943, 2.943, 0.000]], "species": ["Li", "Cu", "Si", "W"], "frac_coords": [[0.000, 0.000, 0.000], [0.750, 0.750, 0.750], [0.500, 0.500, 0.500], [0.250, 0.250, 0.250]]}

Entry 3:
{"formula": "PrTe2PbAuSe", "functional": "GGA-PBE", "state": "relaxed", "cell": [[2.174, -7.443, 0.000], [2.174, 7.443, 0.000], [0.000, 0.000, 10.916]], "species": ["Pr", "Pr", "Te", "Te", "Te", "Te", "Pb", "Pb", "Au", "Au", "Se", "Se"], "frac_coords": [[0.000, 0.000, 0.000], [0.000, 0.000, 0.500], [0.346, 0.654, 0.562], [0.346, 0.654, 0.938], [0.654, 0.346, 0.062], [0.654, 0.346, 0.438], [0.254, 0.746, 0.250], [0.746, 0.254, 0.750], [0.473, 0.527, 0.750], [0.527, 0.473, 0.250], [0.085, 0.915, 0.750], [0.915, 0.085, 0.250]]}

Entry 4:
{"formula": "Rb2ZnSn3S8", "functional": "GGA-PBE", "state": "relaxed", "cell": [[7.442, 0.000, 0.000], [-3.297, 7.554, 0.000], [-0.761, -1.526, 15.320]], "species": ["Rb", "Rb", "Rb", "Rb", "Zn", "Zn", "Sn", "Sn", "Sn", "Sn", "Sn", "Sn", "S", "S", "S", "S", "S", "S", "S", "S", "S", "S", "S", "S", "S", "S", "S", "S"], "frac_coords": [[0.127, 0.231, 0.143], [0.148, 0.814, 0.520], [0.852, 0.186, 0.480], [0.873, 0.769, 0.857], [0.227, 0.750, 0.264], [0.773, 0.250, 0.736], [0.250, 0.222, 0.751], [0.421, 0.499, 0.395], [0.454, 0.836, 0.064], [0.546, 0.164, 0.936], [0.579, 0.501, 0.605], [0.750, 0.778, 0.249], [0.079, 0.943, 0.310], [0.111, 0.494, 0.346], [0.154, 0.647, 0.115], [0.263, 0.242, 0.912], [0.385, 0.261, 0.491], [0.386, 0.537, 0.721], [0.430, 0.840, 0.904], [0.440, 0.068, 0.698], [0.560, 0.932, 0.302], [0.570, 0.160, 0.096], [0.614, 0.463, 0.279], [0.615, 0.739, 0.509], [0.737, 0.758, 0.088], [0.846, 0.353, 0.885], [0.889, 0.506, 0.654], [0.921, 0.057, 0.690]]}

Across the entries above, energy takes the values -4.922, -5.757, -4.381, -4.138 eV/atom, respectively.
Across the entries above, V takes the values 179.40, 51.01, 176.62, 430.65 Å³/f.u., respectively.
Across the entries above, calculated density takes the values 8.8, 9.2, 8.3, 3.3 g/cm³, respectively.